[1]
5
Lattice="-4.4773 1.5959 2.1099 -1.5519 -4.9434 0.4459 2.1424 -0.2458 4.7323" Properties=species:S:1:pos:R:3 comment="FeAg3Br, relaxed, DFT GGA-PBE" space_group="Pm-3m (221)" pbc="T T T"
Br 0.0000 0.0000 0.0000
Ag -0.7759 -2.4717 0.2229
Ag 1.0712 -0.1229 2.3661
Ag -2.2387 0.7979 1.0549
Fe -1.9434 -1.7967 3.6440

[2]
4
Lattice="-1.8538 -8.9482 -3.0751 0.8704 -8.5616 -4.3479 0.6598 -9.5054 -1.4746" Properties=species:S:1:pos:R:3 comment="FeAg2Br, relaxed, DFT GGA-PBE" space_group="R-3m (166)" pbc="T T T"
Ag -0.0029 -0.2397 -0.0789
Ag -0.1589 -13.2679 -4.3699
Br -0.0809 -6.7538 -2.2244
Fe -0.2427 -20.2614 -6.6732

[3]
14
Lattice="-3.3721 4.1489 -7.2536 2.4733 -6.3366 -5.9101 -4.8206 -1.7377 7.4122" Properties=species:S:1:pos:R:3 comment="FeAg5Br8, relaxed, DFT GGA-PBE" space_group="I-4m2 (119)" pbc="T T T"
Fe -1.3984 -4.5840 -2.5399
Ag -6.4273 -0.4705 -2.8765
Ag -3.1550 -1.4375 -2.9465
Ag -2.2143 1.7892 -3.5396
Ag -0.4494 -1.0938 -6.5819
Ag -5.4876 2.7537 -3.4838
Br 0.4209 -5.3588 -3.8638
Br -0.7645 -2.4906 -1.6026
Br -1.1810 -3.5085 -7.5375
Br -2.9567 -3.2608 2.1506
Br -2.5766 -0.2115 -5.1764
Br -1.8565 -6.2497 -0.9033
Br -3.3934 -4.2370 -3.7898
Br -4.7245 -0.8698 -0.9397

[4]
3
Lattice="-1.2543 -3.6245 -5.5930 -0.9818 -5.8066 -3.3655 -3.1105 -0.3467 0.0477" Properties=species:S:1:pos:R:3 comment="FeAgBr, relaxed, DFT GGA-PBE" space_group="I4mm (107)" pbc="T T T"
Ag -3.0792 -0.6711 -0.2739
Br -2.8553 -2.9977 -2.5805
Fe -2.5225 -6.4556 -6.0086

[5]
4
Lattice="4.4920 -0.0037 0.0334 3.2628 3.0875 0.0334 0.8462 0.3365 5.9760" Properties=species:S:1:pos:R:3 comment="FeAg2Br, relaxed, DFT GGA-PBE" space_group="C2/m (12)" pbc="T T T"
Ag 7.6837 3.0555 0.3865
Ag 4.3716 1.7384 2.7016
Br 6.4507 2.5652 4.5320
Fe 2.1502 0.8551 1.5107

[6]
4
Lattice="3.1691 0.0000 0.0000 0.0000 3.1691 0.0000 0.0000 0.0000 7.6881" Properties=species:S:1:pos:R:3 comment="FeAg2Br, relaxed, DFT GGA-PBE" space_group="P4mm (99)" pbc="T T T"
Ag 0.0000 0.0000 7.5209
Ag 1.5846 1.5846 1.5983
Br 0.0000 0.0000 4.2933
Fe 1.5846 1.5846 5.8076

[7]
20
Lattice="8.1259 0.1528 0.1562 -0.0236 8.1273 0.1562 -0.0236 -0.0241 8.1288" Properties=species:S:1:pos:R:3 comment="FeAg3Br6, relaxed, DFT GGA-PBE" space_group="R-3 (148)" pbc="T T T"
Fe 0.0000 0.0000 0.0000
Fe 4.0394 4.1280 4.2206
Ag 3.6410 7.4511 6.4191
Ag 7.3703 6.3332 3.9433
Ag 1.9070 4.4802 0.8496
Ag 6.1717 3.7758 7.5916
Ag 0.7085 1.9228 4.4980
Ag 4.4378 0.8050 2.0221
Br 2.3200 7.6565 0.7049
Br 0.4745 7.6064 5.9406
Br 4.4431 6.5217 3.9184
Br 7.5943 5.9250 0.7710
Br 3.6755 4.5240 6.6070
Br 1.6550 4.4402 3.7718
Br 6.4237 3.8158 4.6694
Br 4.4033 3.7320 1.8342
Br 0.4844 2.3310 7.6702
Br 3.6356 1.7343 4.5228
Br 7.6043 0.6496 2.5006
Br 5.7588 0.5996 7.7363

[8]
4
Lattice="-5.1350 1.1345 0.1938 1.5433 -3.6592 -3.4527 -0.4072 -2.2124 2.1627" Properties=species:S:1:pos:R:3 comment="FeAg2Br, relaxed, DFT GGA-PBE" space_group="Cmmm (65)" pbc="T T T"
Ag 0.0000 0.0000 0.0000
Ag -1.7959 -1.2624 -1.6295
Br -2.7711 -0.5389 1.1782
Fe 0.5681 -2.9358 -0.6450

[9]
6
Lattice="2.6896 2.2660 5.1742 1.2704 6.1097 0.4462 -3.2916 3.6016 3.9160" Properties=species:S:1:pos:R:3 comment="FeAgBr4, relaxed, DFT GGA-PBE" space_group="F-43m (216)" pbc="T T T"
Fe 0.5014 8.9831 7.1524
Ag 0.0000 0.0000 0.0000
Br 0.8861 7.5471 3.7989
Br 1.5961 5.6244 6.1639
Br -1.3959 6.2925 5.5346
Br 0.2506 4.4909 3.5757

[10]
24
Lattice="-4.9686 3.4471 -6.2385 -1.5990 -6.5018 -2.3190 -11.0001 -0.4057 8.5369" Properties=species:S:1:pos:R:3 comment="FeAgBr4, relaxed, DFT GGA-PBE" space_group="P2_1/c (14)" pbc="T T T"
Fe -3.2486 -3.5693 -2.5292
Fe -14.3192 0.1088 2.5086
Fe -8.9170 0.3796 -1.8828
Fe -8.6508 -3.8400 1.8622
Ag -4.9753 -5.3536 0.8877
Ag -12.5925 1.8931 -0.9083
Ag -4.7040 0.4390 -2.1779
Ag -12.8638 -3.8995 2.1573
Br -3.3629 -1.6413 -1.1541
Br -14.2049 -1.8191 1.1335
Br -8.6231 -1.6730 -3.0323
Br -8.9447 -1.7875 3.0117
Br -3.1137 -5.4589 -1.1184
Br -14.4541 1.9984 1.0978
Br -6.9477 0.8094 -0.6515
Br -10.6201 -4.2698 0.6309
Br -6.8908 -3.5717 0.2897
Br -10.6770 0.1113 -0.3103
Br -5.3410 0.4280 -4.7848
Br -12.2268 -3.8884 4.7642
Br -5.1024 -3.6422 -3.9904
Br -12.4654 0.1817 3.9698
Br -9.4427 2.1032 -3.4091
Br -8.1251 -5.5637 3.3885

[11]
3
Lattice="4.3832 0.0000 0.0000 -2.1916 3.7960 0.0000 0.0000 0.0000 3.3834" Properties=species:S:1:pos:R:3 comment="FeAgBr, relaxed, DFT GGA-PBE" space_group="P-6m2 (187)" pbc="T T T"
Ag 0.0000 0.0000 0.0012
Br 2.1916 1.2653 1.6924
Fe 0.0000 2.5306 1.6898

[12]
4
Lattice="-2.8475 -1.7224 0.0923 0.6311 -1.2155 -3.2123 3.4938 -5.6316 2.6936" Properties=species:S:1:pos:R:3 comment="FeAg2Br, relaxed, DFT GGA-PBE" space_group="Pm (6)" pbc="T T T"
Ag 4.0500 -6.7254 -0.5614
Ag -0.4603 -2.5111 -1.0201
Br 2.1993 -3.6468 -0.2026
Fe 1.6758 -5.9568 0.5797

[13]
3
Lattice="-0.7491 -4.2446 -1.0725 2.0598 -1.8037 -3.4974 3.1774 -3.0411 0.6194" Properties=species:S:1:pos:R:3 comment="FeAgBr, relaxed, DFT GGA-PBE" space_group="F-43m (216)" pbc="T T T"
Ag 0.0000 0.0000 0.0000
Br 2.2440 -4.5447 -1.9752
Fe 3.3661 -6.8171 -2.9628

[14]
4
Lattice="-6.0118 -1.7488 -2.7599 -4.3705 -5.1561 1.0629 3.7083 5.4156 1.9331" Properties=species:S:1:pos:R:3 comment="FeAg2Br, relaxed, DFT GGA-PBE" space_group="Imm2 (44)" pbc="T T T"
Ag -0.8654 -0.5755 -0.1415
Ag -3.4154 0.3279 -0.7834
Br -4.4507 -2.9600 -0.7275
Fe -3.1337 -1.7342 1.0399

[15]
14
Lattice="7.2332 -0.3476 -2.3551 -1.4585 7.0935 -2.3531 0.0035 0.0060 9.5492" Properties=species:S:1:pos:R:3 comment="FeAgBr5, relaxed, DFT GGA-PBE" space_group="C2/c (15)" pbc="T T T"
Fe 5.5254 4.0396 -1.1441
Fe 0.2528 2.7122 5.9850
Ag 3.6166 -0.1738 -1.1776
Ag 3.6183 -0.1708 3.5970
Br 4.4626 4.8175 -3.0509
Br 0.6375 4.6891 1.1559
Br 2.8061 0.5200 1.2097
Br 4.5922 4.9717 0.7610
Br 1.1860 1.7801 4.0799
Br 5.5871 1.6761 -1.0876
Br 0.1912 5.0757 5.9285
Br 2.9721 6.2318 3.6312
Br 5.1407 2.0627 3.6850
Br 1.3156 1.9343 7.8918

[16]
13
Lattice="-0.0135 -6.3913 2.9399 8.1799 -0.2472 -0.4999 -3.6493 4.7480 5.1737" Properties=species:S:1:pos:R:3 comment="Fe2Ag3Br8, relaxed, DFT GGA-PBE" space_group="C2/m (12)" pbc="T T T"
Fe 4.2448 -2.4587 3.4393
Fe 0.2723 0.5681 4.1744
Ag -0.0068 -3.1956 1.4699
Ag 5.8613 -0.1772 -0.3582
Ag 2.3185 -0.0701 -0.1417
Br 0.3061 -1.3065 5.6555
Br 4.2109 -0.5840 1.9582
Br 4.4105 -1.5274 5.6902
Br 0.1066 -0.3631 1.9235
Br 2.2054 -3.7196 3.3117
Br 6.1739 -3.8395 3.0692
Br -1.6569 1.9490 4.5446
Br 2.3117 1.8290 4.3021

[17]
4
Lattice="-2.3763 1.1095 4.0040 -4.3662 -1.8040 0.7695 -0.6566 -3.3148 3.3898" Properties=species:S:1:pos:R:3 comment="FeAg2Br, relaxed, DFT GGA-PBE" space_group="Fm-3m (225)" pbc="T T T"
Br -3.6995 -2.0046 4.0817
Ag -1.8498 -1.0023 2.0408
Ag -5.5493 -3.0070 6.1225
Fe 0.0000 0.0000 0.0000

[18]
32
Lattice="10.3785 0.0000 5.0117 3.9792 9.5854 5.0117 -0.2182 -0.1456 13.7039" Properties=species:S:1:pos:R:3 comment="Fe3AgBr12, relaxed, DFT GGA-PBE" space_group="R3c (161)" pbc="T T T"
Fe 8.3428 3.4705 5.2527
Fe 3.4539 4.3840 10.1145
Fe 9.4945 1.5091 12.1046
Fe 7.5974 9.2495 6.7558
Fe 12.6612 6.3746 8.2742
Fe 8.1469 8.1903 13.6078
Ag 1.4666 0.9791 10.2150
Ag 8.7545 5.8446 8.3747
Br 1.8678 1.1519 1.5264
Br 2.9515 2.6086 11.6259
Br 3.6629 8.9450 11.5589
Br 9.9258 4.3242 17.9638
Br 4.5499 3.6845 8.2335
Br 5.2307 0.4114 16.4930
Br 8.5259 3.3466 7.6275
Br 11.8757 5.2769 14.3422
Br 7.3724 2.1015 11.4188
Br 9.4503 1.7257 14.4794
Br 11.1081 2.7895 11.1119
Br 4.7129 5.8717 11.3500
Br 2.1389 4.0795 16.1825
Br 8.0762 1.2834 4.5668
Br 8.1709 8.4043 18.4317
Br 6.7262 7.4741 8.0891
Br 10.8288 6.5912 9.7856
Br 6.3571 4.6733 18.4108
Br 8.8498 6.0033 13.3900
Br 12.2172 7.5094 20.0971
Br 7.8043 9.1897 11.5798
Br 4.1394 6.9670 4.4980
Br 6.1731 8.0664 14.9411
Br 5.6942 -0.0466 9.6410

[19]
4
Lattice="-2.9018 -3.1667 3.0207 2.7553 -1.9642 4.0153 -0.7054 4.8589 -1.8617" Properties=species:S:1:pos:R:3 comment="FeAg2Br, relaxed, DFT GGA-PBE" space_group="I-4m2 (119)" pbc="T T T"
Ag 0.0000 0.0000 0.0000
Ag 0.9883 0.1646 2.8358
Br -0.0733 -2.5655 3.5180
Fe -1.8403 -0.4366 2.3385

[20]
4
Lattice="-2.2721 -3.2560 -0.0142 0.2235 -0.1733 3.9603 -3.9546 2.7580 0.3439" Properties=species:S:1:pos:R:3 comment="FeAg2Br, relaxed, DFT GGA-PBE" space_group="P4/mmm (123)" pbc="T T T"
Ag 0.0000 0.0000 0.0000
Ag -1.0243 -1.7147 1.9731
Br -3.1133 -0.2490 0.1648
Fe -1.8655 1.2923 2.1521

Per-record energy relative to the elements, uncorrected, eV per atom: 1.2334; 0.4113; -0.3615; 0.3621; 0.4564; 0.2983; -0.2643; 0.5729; 1.0001; -0.4464; 0.6065; 0.2283; 0.6333; 0.3116; -0.3327; -0.3868; 0.6930; -0.3518; 0.5853; 0.5408
Per-record volume, Å³/cell: 140.64; 75.47; 487.90; 62.81; 82.85; 77.21; 536.93; 76.72; 173.16; 857.58; 56.30; 83.16; 61.96; 85.41; 485.29; 370.33; 77.54; 1378.43; 74.98; 76.20